A plane-wave DFT calculation with GGA-PBE was carried out for an optimized crystal structure of Ac2ThCd6.

abc: 9.0017 9.0017 3.6083
angles: 90.00 90.00 120.00
Space group P6/mmm (No. 191)
One atom of each set of equivalent atoms:
1 Ac 0.3333 0.6667 0.0000
2 Th 0.0000 0.0000 0.0000
3 Cd 0.0000 0.3284 0.5000

Computed properties:
Volume, Å³ per cell: 253.2
Density of states at the Fermi level, states/eV/cell: 5.7
E, eV/atom: -2.610
Size of the total moment, μB per atom: 0.00
DFT formation energy, eV/atom: -0.262

A plane-wave DFT calculation with GGA-PBE was carried out for an optimized crystal structure of Ac4ThCd5.

abc: 4.034 4.034 20.078
angles: 90.00 90.00 90.00
Space group P4/mmm (No. 123)
One atom of each set of equivalent atoms:
1 Ac 0.000 0.000 0.103
2 Ac 0.000 0.000 0.309
3 Th 0.000 0.000 0.500
4 Cd 0.500 0.500 0.000
5 Cd 0.500 0.500 0.205
6 Cd 0.500 0.500 0.412

Computed properties:
Volume, Å³ per cell: 326.8
Density of states at the Fermi level, states/eV/cell: 13.1
E, eV/atom: -3.077
Size of the total moment, μB per atom: 0.00
DFT formation energy, eV/atom: -0.234

A plane-wave DFT calculation with GGA-PBE was carried out for an optimized crystal structure of AcThCd2.

abc: 3.7449 3.7449 31.8479
angles: 90.00 90.00 120.00
Space group R-3m (No. 166, hexagonal axes)
One atom of each set of equivalent atoms:
1 Ac 0.0000 0.0000 0.0000
2 Th 0.0000 0.0000 0.5000
3 Cd 0.0000 0.0000 0.2472

Computed properties:
Volume, Å³ per cell: 386.8
Density of states at the Fermi level, states/eV/cell: 13.3
E, eV/atom: -3.334
Size of the total moment, μB per atom: 0.00
DFT formation energy, eV/atom: 0.006

A plane-wave DFT calculation with GGA-PBE was carried out for an optimized crystal structure of AcThCd2.

abc: 3.942 3.942 7.966
angles: 90.00 90.00 90.00
Space group P4/mmm (No. 123)
One atom of each set of equivalent atoms:
1 Ac 0.000 0.000 0.000
2 Th 0.000 0.000 0.500
3 Cd 0.500 0.500 0.270

Computed properties:
Volume, Å³ per cell: 123.8
Density of states at the Fermi level, states/eV/cell: 4.4
E, eV/atom: -3.493
Size of the total moment, μB per atom: 0.00
DFT formation energy, eV/atom: -0.153

A plane-wave DFT calculation with GGA-PBE was carried out for an optimized crystal structure of AcThTlCd.

abc: 7.969 7.969 7.969
angles: 90.00 90.00 90.00
Space group F-43m (No. 216)
One atom of each set of equivalent atoms:
1 Ac 0.000 0.000 0.000
2 Th 0.000 0.000 0.500
3 Tl 0.250 0.250 0.750
4 Cd 0.250 0.250 0.250

Computed properties:
Volume, Å³ per cell: 506.1
Density of states at the Fermi level, states/eV/cell: 20.2
E, eV/atom: -3.844
Size of the total moment, μB per atom: 0.00
DFT formation energy, eV/atom: -0.141

A plane-wave DFT calculation with GGA-PBE was carried out for an optimized crystal structure of AcYThCd.

abc: 7.993 7.993 7.993
angles: 90.00 90.00 90.00
Space group F-43m (No. 216)
One atom of each set of equivalent atoms:
1 Ac 0.000 0.000 0.000
2 Y 0.250 0.250 0.750
3 Th 0.250 0.250 0.250
4 Cd 0.000 0.000 0.500

Computed properties:
Volume, Å³ per cell: 510.7
Density of states at the Fermi level, states/eV/cell: 24.1
E, eV/atom: -4.581
Size of the total moment, μB per atom: 0.00
DFT formation energy, eV/atom: 0.145